Entry 1:
A plane-wave DFT calculation with GGA-PBE was carried out for an optimized crystal structure of Mg3Ga.

Cell and atoms, written as POSCAR:
```
Mg3Ga
1.0
4.8947 0.0000 0.0000
2.4474 4.2390 0.0000
2.4474 1.4130 3.9965
Ga Mg
1 3
direct
0.2500 0.2500 0.2500
0.7500 0.7500 0.7500
0.0000 0.0000 0.0000
0.5000 0.5000 0.5000
```

Entry 2:
A plane-wave DFT calculation with GGA-PBE was carried out for an optimized crystal structure of Mg2Ga13.

Cell and atoms, written as POSCAR:
```
Mg2Ga13
1.0
-0.1498 -6.2732 4.0141
3.4149 -6.1198 -2.5249
7.0811 -2.1540 3.8097
Ga Mg
13 2
direct
0.2623 0.8807 0.5947
0.7377 0.7377 0.4053
0.5133 0.1437 0.8297
0.1193 0.7377 0.4053
0.2623 0.2623 0.5947
0.4867 0.4867 0.1703
0.8807 0.2623 0.5947
0.5000 0.5000 0.5000
0.4867 0.8563 0.1703
0.1437 0.5133 0.8297
0.7377 0.1193 0.4053
0.8563 0.4867 0.1703
0.5133 0.5133 0.8297
0.7440 0.7440 0.7681
0.2560 0.2560 0.2319
```

Entry 3:
A plane-wave DFT calculation with GGA-PBE was carried out for an optimized crystal structure of Mg2Ga3.

Cell and atoms, written as POSCAR:
```
Mg2Ga3
1.0
5.3358 0.0000 0.0000
2.6679 4.6210 0.0000
2.6679 1.5403 8.3320
Ga Mg
6 4
direct
0.2506 0.2494 0.7500
0.7500 0.2506 0.7500
0.7506 0.2500 0.2500
0.7494 0.7506 0.2500
0.2500 0.7494 0.2500
0.2494 0.7500 0.7500
0.3139 0.3139 0.0584
0.6861 0.6861 0.9416
0.8139 0.8139 0.5584
0.1861 0.1861 0.4416
```

Entry 4:
A plane-wave DFT calculation with GGA-PBE was carried out for an optimized crystal structure of Mg4Ga.

Cell and atoms, written as POSCAR:
```
Mg4Ga
1.0
-0.4681 1.1500 -4.9533
-5.0742 -0.4299 0.3797
-0.3315 4.9568 1.1822
Ga Mg
1 4
direct
0.5000 0.5000 0.5000
0.0000 0.5000 0.5000
0.0000 0.0000 0.0000
0.5000 0.5000 0.0000
0.5000 0.0000 0.5000
```

Entry 5:
A plane-wave DFT calculation with GGA-PBE was carried out for an optimized crystal structure of Mg2Ga13.

Cell and atoms, written as POSCAR:
```
Mg2Ga13
1.0
1.6034 1.0426 7.4279
-3.0089 -4.6928 5.2684
4.3365 -4.8840 3.7096
Ga Mg
13 2
direct
0.9829 0.3442 0.6899
0.0171 0.6558 0.3101
0.0171 0.0171 0.3101
0.5000 0.5000 0.5000
0.3820 0.7556 0.1068
0.2444 0.6180 0.8932
0.2444 0.2444 0.8932
0.7556 0.7556 0.1068
0.6558 0.0171 0.3101
0.9829 0.9829 0.6899
0.3442 0.9829 0.6899
0.6180 0.2444 0.8932
0.7556 0.3820 0.1068
0.7611 0.7611 0.7166
0.2389 0.2389 0.2834
```

Entry 6:
A plane-wave DFT calculation with GGA-PBE was carried out for an optimized crystal structure of MgGa3.

Cell and atoms, written as POSCAR:
```
MgGa3
1.0
3.0248 0.0000 0.0000
-1.5124 2.6196 0.0000
0.0000 0.0000 9.7665
Ga Mg
3 1
direct
0.6667 0.3333 0.7492
0.0000 0.0000 0.0000
0.6667 0.3333 0.2508
0.0000 0.0000 0.5000
```

Entry 7:
A plane-wave DFT calculation with GGA-PBE was carried out for an optimized crystal structure of MgGa6.

Cell and atoms, written as POSCAR:
```
MgGa6
1.0
6.0329 0.0000 0.0000
0.0000 6.0329 0.0000
0.0000 0.0000 7.4997
Ga Mg
12 2
direct
0.1669 0.6669 0.6454
0.5000 0.5000 0.1661
0.1669 0.3331 0.3546
0.5000 0.5000 0.8339
0.0000 0.0000 0.1661
0.3331 0.1669 0.6454
0.0000 0.0000 0.8339
0.3331 0.8331 0.3546
0.8331 0.3331 0.6454
0.6669 0.8331 0.6454
0.6669 0.1669 0.3546
0.8331 0.6669 0.3546
0.0000 0.5000 0.0000
0.5000 0.0000 0.0000
```

Entry 8:
A plane-wave DFT calculation with GGA-PBE was carried out for an optimized crystal structure of MgGa3.

Cell and atoms, written as POSCAR:
```
MgGa3
1.0
-0.8101 2.1825 -2.2276
1.6036 -2.9814 -3.5727
-4.9239 -1.2752 2.9056
Ga Mg
3 1
direct
0.2449 0.5964 0.4930
0.9961 0.9784 0.9927
0.5044 0.4849 0.0075
0.7546 0.1070 0.5068
```

Entry 9:
A plane-wave DFT calculation with GGA-PBE was carried out for an optimized crystal structure of MgGa3.

Cell and atoms, written as POSCAR:
```
MgGa3
1.0
-3.4968 -3.2582 1.5904
1.7470 -3.8574 -4.0614
4.2033 -3.8931 1.2661
Mg Ga
2 6
direct
0.7500 0.6666 0.6666
0.2500 0.3334 0.3334
0.7500 0.6739 0.1630
0.7500 0.1631 0.1631
0.2500 0.8369 0.8369
0.2500 0.3261 0.8370
0.7500 0.1630 0.6739
0.2500 0.8370 0.3261
```

Entry 10:
A plane-wave DFT calculation with GGA-PBE was carried out for an optimized crystal structure of Mg3Ga.

Cell and atoms, written as POSCAR:
```
Mg3Ga
1.0
-2.5592 1.8250 0.4830
0.9208 -2.0702 2.2316
5.6340 6.8371 4.0181
Mg Ga
3 1
direct
0.0000 0.0000 0.2656
0.6667 0.3333 0.0000
0.0000 0.0000 0.7344
0.6667 0.3333 0.5000
```

Entry 11:
A plane-wave DFT calculation with GGA-PBE was carried out for an optimized crystal structure of MgGa3.

Cell and atoms, written as POSCAR:
```
MgGa3
1.0
-0.6299 -4.1426 0.2862
4.0117 -0.6814 -1.0341
1.0682 0.1185 4.0660
Ga Mg
3 1
direct
0.5000 0.5000 0.0835
0.0000 0.5000 0.5836
0.0000 0.0000 0.0834
0.5000 0.0000 0.5828
```

Entry 12:
A plane-wave DFT calculation with GGA-PBE was carried out for an optimized crystal structure of Mg3Ga.

Cell and atoms, written as POSCAR:
```
Mg3Ga
1.0
-5.1207 0.7177 -1.5097
-2.7637 -4.5795 0.6386
3.2715 2.7872 3.2828
Ga Mg
1 3
direct
0.0000 0.0000 0.0000
0.7498 0.2502 0.5000
0.2502 0.7498 0.5000
0.5000 0.5000 0.0000
```

Which total energy belongs to each record? In order, -1.9872; -2.7597; -2.4988; -1.6899; -2.8212; -2.6913; -2.8571; -2.7331; -2.7479; -2.0114; -2.7589; -2.0273 eV/atom.